The following is a DFT calculation (GGA-PBE) of an optimized crystal structure of Ac2MgIn6Rh.

Cell: 7.0918 7.0918 6.2225 Å, 90.00 90.00 120.00°
Element x y z (fractional)
Ac (0.3333, 0.6667, 0.3098)
Ac (0.6667, 0.3333, 0.6902)
Mg (0.0000, 0.0000, 0.5000)
In (0.1913, 0.3825, 0.7954)
In (0.1913, 0.8087, 0.7954)
In (0.3825, 0.1913, 0.2046)
In (0.6175, 0.8087, 0.7954)
In (0.8087, 0.1913, 0.2046)
In (0.8087, 0.6175, 0.2046)
Rh (0.0000, 0.0000, 0.0000)

Theoretical density = 7.8 g/cm3
Final energy = -3.75 eV/atom
Symmetry = P-3m1
Size of the total moment = 0.0 Bohr magnetons per cell
Volume = 271.0 Å³ per cell